A relaxed structure of Sr3AsIr, computed with PBE.

Lattice parameters (Å, degrees): 5.631 5.631 5.631 90.00 90.00 90.00
Space group Pm-3m (No. 221)
Asymmetric unit:
Sr1 0.000 0.000 0.500 [3 per cell]
As1 0.500 0.500 0.500 [1 per cell]
Ir1 0.000 0.000 0.000 [1 per cell]

- Formation energy from the elements: -0.270 eV per atom
- Distance to the lowest polymorph of the same formula: 0 meV per atom
- Spin magnetization: 0.00 μB per cell
- DOS at the Fermi energy: 0.00 states/eV per atom
- Final energy: -19.9 eV for the cell shown

---

A relaxed structure of Li5TiIn6, computed with PBE.

Lattice parameters (Å, degrees): 4.723 14.343 6.851 90.00 90.00 90.00
Space group Cmmm (No. 65)
Asymmetric unit:
Li1 0.000 0.000 0.000 [2 per cell]
Li2 0.000 0.324 0.000 [4 per cell]
Li3 0.000 0.343 0.500 [4 per cell]
Ti1 0.000 0.000 0.500 [2 per cell]
In1 0.000 0.167 0.257 [8 per cell]
In2 0.000 0.500 0.233 [4 per cell]

- Formation energy from the elements: -0.248 eV per atom
- Spin magnetization: 0.00 μB per cell
- DOS at the Fermi energy: 0.37 states/eV per atom
- Final energy: -73.7 eV for the cell shown

---

A relaxed structure of Y2Ni15Pd2, computed with PBE.

Lattice parameters (Å, degrees): 8.4242 8.4242 12.1436 90.00 90.00 120.00
Space group R-3m (No. 166, hexagonal axes)
Asymmetric unit:
Y1 0.0000 0.0000 0.1564 [6 per cell]
Ni1 0.0000 0.2979 0.5000 [18 per cell]
Ni2 0.0000 0.5000 0.0000 [9 per cell]
Ni3 0.0056 0.5028 0.6542 [18 per cell]
Pd1 0.0000 0.0000 0.3929 [6 per cell]

- Formation energy from the elements: -0.210 eV per atom
- Spin magnetization: 21.02 μB per cell
- DOS at the Fermi energy: 1.32 states/eV per atom
- Final energy: -342.1 eV for the cell shown

---

A relaxed structure of PrI, computed with PBE.

Lattice parameters (Å, degrees): 6.428 6.428 6.428 90.00 90.00 90.00
Space group Fm-3m (No. 225)
Asymmetric unit:
Pr1 0.000 0.000 0.000 [4 per cell]
I1 0.000 0.000 0.500 [4 per cell]

- E_form (uncorrected): -0.68 eV per atom
- Spin magnetization: 0.00 μB per cell
- DOS at the Fermi energy: 1.23 states/eV per atom
- Final energy: -30.8 eV for the cell shown

---

A relaxed structure of Nb2NiB, computed with PBE.

Lattice parameters (Å, degrees): 3.1702 3.1702 19.5887 90.00 90.00 120.00
Space group R-3m (No. 166, hexagonal axes)
Asymmetric unit:
Nb1 0.0000 0.0000 0.2333 [6 per cell]
Ni1 0.0000 0.0000 0.0000 [3 per cell]
B1 0.0000 0.0000 0.5000 [3 per cell]

- Formation energy from the elements: -0.177 eV per atom
- Spin magnetization: 0.00 μB per cell
- DOS at the Fermi energy: 1.08 states/eV per atom
- Final energy: -99.9 eV for the cell shown

---

A relaxed structure of ErAsPt, computed with PBE.

Lattice parameters (Å, degrees): 7.836 7.836 4.512 90.00 90.00 90.00
Space group P4_2/m (No. 84)
Asymmetric unit:
Er1 0.110 0.717 0.000 [4 per cell]
As1 0.175 0.479 0.500 [4 per cell]
Pt1 0.235 0.348 0.000 [4 per cell]

- Formation energy from the elements: -0.871 eV per atom
- Spin magnetization: 0.00 μB per cell
- DOS at the Fermi energy: 0.27 states/eV per atom
- Final energy: -71.5 eV for the cell shown

---

A relaxed structure of Ti4NiN, computed with PBE.

Lattice parameters (Å, degrees): 4.165 7.729 5.611 90.00 90.00 90.00
Space group Pmmn (No. 59, origin choice 2)
Asymmetric unit:
Ti1 0.250 0.037 0.200 [4 per cell]
Ti2 0.250 0.250 0.740 [2 per cell]
Ti3 0.250 0.750 0.601 [2 per cell]
Ni1 0.250 0.750 0.035 [2 per cell]
N1 0.250 0.250 0.395 [2 per cell]

- E_form (uncorrected): -0.51 eV per atom
- Spin magnetization: 0.00 μB per cell
- DOS at the Fermi energy: 0.76 states/eV per atom
- Final energy: -97.5 eV for the cell shown

---

A relaxed structure of RbHg4Pb, computed with PBE.

Lattice parameters (Å, degrees): 8.114 5.418 9.080 90.00 90.00 90.00
Space group Pmma (No. 51)
Asymmetric unit:
Rb1 0.250 0.000 0.146 [2 per cell]
Hg1 0.000 0.000 0.500 [2 per cell]
Hg2 0.056 0.500 0.833 [4 per cell]
Hg3 0.250 0.500 0.426 [2 per cell]
Pb1 0.250 0.000 0.734 [2 per cell]

- Formation energy from the elements: -0.111 eV per atom
- Distance to the lowest polymorph of the same formula: 14 meV per atom
- Spin magnetization: 0.00 μB per cell
- DOS at the Fermi energy: 0.38 states/eV per atom
- Final energy: -13.1 eV for the cell shown

---

Number 3 is which compound?
Y2Ni15Pd2